(1)
! Be4CoCu (PBE-GGA, relaxed); values from VASP
&SYSTEM
  ibrav = 0, nat = 6, ntyp = 3
/
ATOMIC_SPECIES
Be 9.01 Be.upf
Co 58.93 Co.upf
Cu 63.55 Cu.upf
ATOMIC_POSITIONS crystal
Be 0.0000 0.0000 0.1915
Be 0.0000 0.0000 0.8085
Be 0.5000 0.5000 0.2885
Be 0.5000 0.5000 0.7115
Co 0.0000 0.5000 0.0000
Cu 0.5000 0.0000 0.5000
CELL_PARAMETERS angstrom
2.3154 0.0000 0.0000
0.0000 3.6759 0.0000
0.0000 0.0000 6.7491
! Space group: No. 47
! Formation energy: 5.0 kJ per mole of atoms
! M_tot: 0.86 Bohr magnetons per cell
! Raw total energy: -25.8 eV per cell

(2)
! Nd2Ho12Pu (PBE-GGA, relaxed); values from VASP
&SYSTEM
  ibrav = 0, nat = 30, ntyp = 3
/
ATOMIC_SPECIES
Nd 144.24 Nd.upf
Ho 164.93 Ho.upf
Pu 244.00 Pu.upf
ATOMIC_POSITIONS crystal
Nd 0.2500 0.7500 0.2412
Nd 0.2500 0.7500 0.7588
Nd 0.7500 0.2500 0.2412
Nd 0.7500 0.2500 0.7588
Ho 0.9999 0.0001 0.3970
Ho 0.0001 0.9999 0.6030
Ho 0.0001 0.5001 0.3970
Ho 0.9999 0.4999 0.6030
Ho 0.0815 0.5815 0.0620
Ho 0.0815 0.9185 0.9380
Ho 0.2500 0.2500 0.1650
Ho 0.2500 0.2500 0.2938
Ho 0.2500 0.2500 0.7062
Ho 0.2500 0.2500 0.8350
Ho 0.4185 0.5815 0.9380
Ho 0.4185 0.9185 0.0620
Ho 0.4999 0.9999 0.3970
Ho 0.5001 0.0001 0.6030
Ho 0.5001 0.4999 0.3970
Ho 0.4999 0.5001 0.6030
Ho 0.5815 0.0815 0.9380
Ho 0.5815 0.4185 0.0620
Ho 0.7500 0.7500 0.1650
Ho 0.7500 0.7500 0.2938
Ho 0.7500 0.7500 0.7062
Ho 0.7500 0.7500 0.8350
Ho 0.9185 0.0815 0.0620
Ho 0.9185 0.4185 0.9380
Pu 0.2500 0.7500 0.5000
Pu 0.7500 0.2500 0.5000
CELL_PARAMETERS angstrom
6.4339 0.0000 0.0000
0.0000 6.4339 0.0000
0.0000 0.0000 24.1575
! Space group: No. 125
! Formation energy: 56.0 kJ per mole of atoms
! M_tot: 0.81 Bohr magnetons per cell
! Raw total energy: -140.2 eV per cell

(3)
! NiIrRh (PBE-GGA, relaxed); values from VASP
&SYSTEM
  ibrav = 0, nat = 3, ntyp = 3
/
ATOMIC_SPECIES
Ni 58.69 Ni.upf
Ir 192.22 Ir.upf
Rh 102.91 Rh.upf
ATOMIC_POSITIONS crystal
Ni 0.0000 0.0000 0.0000
Ir 0.3333 0.6667 0.6774
Rh 0.6667 0.3333 0.3278
CELL_PARAMETERS angstrom
2.6918 0.0000 0.0000
-1.3459 2.3312 0.0000
0.0000 0.0000 6.4135
! Space group: No. 156
! Formation energy: 3.3 kJ per mole of atoms
! M_tot: 0.62 Bohr magnetons per cell
! Raw total energy: -21.9 eV per cell